Record 1
Material: Al2CrInS6
Method: DFT, PBE
State: relaxed

Cell lengths 6.3803, 8.1120, 8.1120 Å; angles 85.08, 81.34, 81.34 degrees
Closest atoms and distances in Å follow each position.
Positions (direct):
S 0.3841 0.1877 0.0290  1 Al 2.33, 2 Cr 2.43-2.50
S 0.6263 0.1075 0.6407  1 Al 2.26, 1 Cr 2.43
S 0.3737 0.8925 0.3593  1 Al 2.26, 1 Cr 2.43
S 0.6100 0.4407 0.2918  2 Al 2.24
S 0.8737 0.3593 0.8925  1 Al 2.26, 1 Cr 2.43
S 0.8841 0.0290 0.1877  1 Al 2.33, 2 Cr 2.43-2.50
S 0.8900 0.7082 0.5593  2 Al 2.24
S 0.1100 0.2918 0.4407  2 Al 2.24
S 0.3900 0.5593 0.7082  2 Al 2.24
S 0.1263 0.6407 0.1075  1 Al 2.26, 1 Cr 2.43
S 0.6159 0.8123 0.9710  1 Al 2.33, 2 Cr 2.43-2.50
S 0.1159 0.9710 0.8123  1 Al 2.33, 2 Cr 2.43-2.50
In 0.2500 0.2712 0.7288  6 S 2.59-2.70
In 0.7500 0.7288 0.2712  6 S 2.59-2.70
Cr 0.7500 0.0889 0.9111  6 S 2.43-2.50
Cr 0.2500 0.9111 0.0889  6 S 2.43-2.50
Al 0.1995 0.7869 0.5992  4 S 2.24-2.33
Al 0.6995 0.5992 0.7869  4 S 2.24-2.33
Al 0.8005 0.2131 0.4008  4 S 2.24-2.33
Al 0.3005 0.4008 0.2131  4 S 2.24-2.33

Results
- Formation energy from raw total energies: -77 kJ/mol of atoms

=====

Record 2
Material: Ge2Se2I
Method: DFT, PBE
State: relaxed

Cell lengths 4.4596, 4.4596, 7.4206 Å; angles 72.51, 72.51, 90.00 degrees
Closest atoms and distances in Å follow each position.
Positions (direct):
I 0.0000 0.0000 0.0000  8 Ge 3.60, 8 Se 4.03
Ge 0.3702 0.3702 0.2596  4 Se 2.75
Ge 0.6298 0.6298 0.7404  4 Se 2.75
Se 0.7500 0.2500 0.5000  4 Ge 2.75
Se 0.2500 0.7500 0.5000  4 Ge 2.75

Results
- Fermi-level density of states: 1.79 states/eV per cell
- Formation energy from raw total energies: -4 kJ/mol of atoms

=====

Record 3
Material: Pr2SmTl3Te6
Method: DFT, PBE
State: relaxed

Cell lengths 7.9252, 7.9252, 8.5930 Å; angles 98.84, 98.84, 120.00 degrees
Closest atoms and distances in Å follow each position.
Positions (direct):
Tl 0.8319 0.1681 0.5000  6 Te 3.48-3.51
Tl 0.5000 0.5000 0.5000  6 Te 3.48-3.52
Tl 0.1681 0.8319 0.5000  6 Te 3.48-3.51
Te 0.9266 0.5977 0.7797  1 Sm 3.17, 2 Pr 3.21, 3 Tl 3.48-3.51
Te 0.0734 0.4023 0.2203  1 Sm 3.17, 2 Pr 3.21, 3 Tl 3.48-3.51
Te 0.5977 0.9266 0.7797  1 Sm 3.17, 2 Pr 3.21, 3 Tl 3.48-3.51
Te 0.7451 0.7451 0.2216  1 Sm 3.17, 2 Pr 3.22, 3 Tl 3.49-3.52
Te 0.4023 0.0734 0.2203  1 Sm 3.17, 2 Pr 3.21, 3 Tl 3.48-3.51
Te 0.2549 0.2549 0.7784  1 Sm 3.17, 2 Pr 3.22, 3 Tl 3.49-3.52
Sm 0.0000 0.0000 0.0000  6 Te 3.17
Pr 0.3336 0.6664 0.0000  6 Te 3.21-3.22
Pr 0.6664 0.3336 0.0000  6 Te 3.21-3.22

Results
- Formation energy from raw total energies: -104 kJ/mol of atoms

=====

Record 4
Material: TbNd2Y3Bi6
Method: DFT, PBE
State: relaxed

Cell lengths 4.5292, 9.0518, 10.1190 Å; angles 102.83, 102.93, 90.00 degrees
Closest atoms and distances in Å follow each position.
Positions (direct):
Bi 0.6662 0.0774 0.3323  3 Y 3.17-3.19, 1 Tb 3.19, 2 Nd 3.24
Bi 0.3338 0.9226 0.6677  3 Y 3.17-3.19, 1 Tb 3.19, 2 Nd 3.24
Bi 0.0025 0.7512 0.0051  3 Y 3.17-3.20, 2 Tb 3.20, 1 Nd 3.24
Bi 0.9975 0.2488 0.9949  3 Y 3.17-3.20, 2 Tb 3.20, 1 Nd 3.24
Bi 0.6650 0.5879 0.3301  3 Y 3.17, 3 Nd 3.24-3.25
Bi 0.3350 0.4121 0.6699  3 Y 3.17, 3 Nd 3.24-3.25
Y 0.1678 0.8338 0.3357  6 Bi 3.17-3.19
Y 0.5000 0.5000 0.0000  6 Bi 3.17-3.20
Y 0.8322 0.1662 0.6643  6 Bi 3.17-3.19
Nd 0.8341 0.6673 0.6681  6 Bi 3.24-3.25
Nd 0.1659 0.3327 0.3319  6 Bi 3.24-3.25
Tb 0.5000 0.0000 0.0000  6 Bi 3.19-3.20

Results
- Raw total energy: -5.65 eV/atom
- Fermi-level density of states: 2.03 states/eV per cell

=====

Record 5
Material: TlCoCl2
Method: DFT, PBE
State: relaxed

Cell lengths 5.0596, 5.0596, 5.0596 Å; angles 60.00, 60.00, 60.00 degrees
Closest atoms and distances in Å follow each position.
Positions (direct):
Co 0.0000 0.0000 0.0000  8 Cl 3.10
Cl 0.2500 0.2500 0.2500  4 Tl 3.10, 4 Co 3.10
Cl 0.7500 0.7500 0.7500  4 Tl 3.10, 4 Co 3.10
Tl 0.5000 0.5000 0.5000  8 Cl 3.10

Results
- Fermi-level density of states: 14.14 states/eV per cell
- Formation energy from raw total energies: 8 kJ/mol of atoms

=====

Record 6
Material: MnH3Cl
Method: DFT, PBE
State: relaxed

Cell lengths 3.6078, 3.6078, 3.6078 Å; angles 90.00, 90.00, 90.00 degrees
Closest atoms and distances in Å follow each position.
Positions (direct):
Mn 0.0000 0.0000 0.0000  6 H 1.80
H 0.5000 0.0000 0.0000  2 Mn 1.80
H 0.0000 0.5000 0.0000  2 Mn 1.80
H 0.0000 0.0000 0.5000  2 Mn 1.80
Cl 0.5000 0.5000 0.5000  12 H 2.55

Results
- Raw total energy: -3.78 eV/atom
- Fermi-level density of states: 1.83 states/eV per cell